Pm2DyGa3 after structural relaxation. Source: Alexandria via LeMat-Bulk, functional PBE-GGA.

```
Pm2DyGa3
1.0
-0.515 -1.127 -3.408
3.559 -0.608 -0.337
-1.413 -10.264 3.608
Pm Ga Dy
2 3 1
Direct
0.500 0.500 0.170 Pm
0.500 0.500 0.830 Pm
0.000 0.000 0.000 Ga
0.000 0.000 0.343 Ga
0.000 0.000 0.657 Ga
0.500 0.500 0.500 Dy
```

Its relative energy among the computed polymorphs is 0.0 meV/atom. Its space group is P4/mmm.